Compound: PmCu3Rh4O12
Source: Alexandria
Functional: PBE-GGA
Structure: relaxed

```
PmCu3Rh4O12
1.0
-1.4111 6.3379 0.6110
-3.6531 -2.5935 -4.7395
-1.2463 -3.0567 5.6247
Pm Cu Rh O
1 3 4 12
Cartesian
0.0000 0.0000 0.0000
-2.4497 -2.8251 0.4426
-2.5321 1.8722 -2.0642
-1.3287 1.6406 3.1178
-0.7056 3.1690 0.3055
-3.1552 0.3439 0.7481
-1.8266 -1.2967 -2.3697
-0.6231 -1.5283 2.8123
-3.6597 -0.6687 -2.9857
-2.6508 1.3564 4.4819
-4.6986 0.6142 -0.5476
-3.9575 3.1418 -1.8498
-2.0734 4.0039 1.5569
-2.3216 -1.1071 -0.4068
-1.9775 1.6778 -0.2356
-4.2371 -3.3162 -0.0607
-1.6118 0.0735 2.0438
-2.3530 -2.4540 3.3460
-3.9889 1.7949 1.9030
-4.3330 -0.9900 1.7318
```

Computed properties:
The total moment comes out at 0.000 μB per atom. As for the formation energy from raw total energies: -1.03 eV per atom. The value obtained for the final energy is -126.47 eV/cell. Its space group is Im-3. The calculated density comes out at 7.30 g/cm³.


Compound: Pm2CuRuO6
Source: Alexandria
Functional: PBE-GGA
Structure: relaxed

```
Pm2CuRuO6
1.0
-3.3628 4.2775 -0.8546
0.7596 -0.4676 -5.3293
-2.0435 -4.4910 2.8420
Pm Cu Ru O
2 1 1 6
Cartesian
-1.5950 -1.3924 -0.1052
-3.0516 0.7114 -3.2367
-1.6814 2.1388 -0.4273
0.3798 -0.2338 -2.6647
-1.5046 -0.9242 -2.8727
-2.2256 -3.1930 1.3378
-2.8023 2.7467 -2.0048
-1.8443 -3.4277 -1.3371
-2.4211 2.5120 -4.6797
-3.1421 0.2432 -0.4692
```

Computed properties:
The total moment comes out at 0.304 μB per atom. As for the formation energy from raw total energies: -2.07 eV per atom. The value obtained for the final energy is -73.30 eV/cell. Its space group is C2/m. The calculated density comes out at 7.25 g/cm³.


Compound: Pm2CuRuO8
Source: Alexandria
Functional: PBE-GGA
Structure: relaxed

```
Pm2CuRuO8
1.0
-3.6714 1.1498 1.6253
2.0542 -2.1102 4.4485
3.2501 5.5944 2.2317
Pm Cu Ru O
2 1 1 8
Cartesian
2.3385 3.3670 4.4532
-0.7057 1.2670 3.8523
1.6250 2.7972 1.1159
0.0000 0.0000 0.0000
1.2321 -0.4786 4.0981
2.0701 4.5863 6.4847
-2.0098 2.2082 2.0188
0.4008 5.1126 4.2074
-0.4373 0.0477 1.8208
3.6427 2.4258 6.2867
0.2833 2.6006 5.5189
1.3496 2.0334 2.7866
```

Computed properties:
The total moment comes out at 0.000 μB per atom. As for the formation energy from raw total energies: -1.74 eV per atom. The value obtained for the final energy is -83.36 eV/cell. Its space group is P-1. The calculated density comes out at 6.46 g/cm³.


Compound: Pm2CuS2O2
Source: Alexandria
Functional: PBE-GGA
Structure: relaxed

```
Pm2CuS2O2
1.0
3.9454 0.0000 0.0000
-1.9727 3.4168 0.0000
0.0000 0.0000 10.9086
Pm Cu S O
2 1 2 2
Cartesian
1.9727 1.1389 3.9587
0.0000 2.2779 6.9499
0.0000 0.0000 0.0000
0.0000 0.0000 8.8185
0.0000 0.0000 2.0901
1.9727 1.1389 6.3362
0.0000 2.2779 4.5724
```

Computed properties:
The total moment comes out at 0.000 μB per atom. As for the formation energy from raw total energies: -2.06 eV per atom. The value obtained for the final energy is -46.22 eV/cell. Its space group is P-3m1. The calculated density comes out at 5.08 g/cm³.